Version A
Ho2Tm3Al3: relaxed, PBE.

Cell: 6.797 6.797 5.091 Å, 90.00 90.00 120.00°
Atoms (fractional coordinates):
Tm 0.507 0.014 0.000
Ho 0.000 0.000 0.000
Al 0.812 0.188 0.500
Tm 0.507 0.493 0.000
Al 0.377 0.188 0.500
Al 0.812 0.623 0.500
Tm 0.986 0.493 0.000
Ho 0.333 0.667 0.500

Summary:
V	203.7	Å³ per cell
symmetry	P-6m2 (187)
total magnetization	0.067	μB/f.u.

***

Version B
Ho2Tm3Al3: relaxed, PBE.

Cell: 6.437 4.902 6.454 Å, 90.00 101.83 90.00°
Atoms (fractional coordinates):
Tm 0.876 0.500 0.124
Ho 0.371 0.500 0.624
Al 0.158 0.000 0.342
Al 0.593 0.000 0.907
Tm 0.088 0.000 0.841
Tm 0.376 0.500 0.125
Al 0.875 0.500 0.627
Ho 0.665 0.000 0.410

Summary:
V	199.3	Å³ per cell
symmetry	Pm (6)
total magnetization	0.001	μB/f.u.

***

Stability comparison, relative energies in kJ/mol of atoms: version A 10.9; version B 0.0

***

Version A
Y3Ho2Al3: relaxed, PBE.

Cell: 6.879 6.879 5.125 Å, 90.00 90.00 120.00°
Atoms (fractional coordinates):
Al 0.812 0.188 0.500
Y 0.507 0.493 0.000
Ho 0.333 0.667 0.500
Al 0.812 0.624 0.500
Y 0.507 0.014 0.000
Y 0.986 0.493 0.000
Ho 0.000 0.000 0.000
Al 0.376 0.188 0.500

Summary:
V	210.1	Å³ per cell
symmetry	P-6m2 (187)
total magnetization	0.063	μB/f.u.

***

Version B
Y3Ho2Al3: relaxed, PBE.

Cell: 4.954 6.508 6.508 Å, 102.25 90.00 90.00°
Atoms (fractional coordinates):
Y 0.000 0.384 0.874
Al 0.500 0.590 0.158
Y 0.500 0.085 0.085
Ho 0.000 0.370 0.370
Al 0.500 0.158 0.590
Y 0.000 0.874 0.384
Al 0.000 0.880 0.880
Ho 0.500 0.660 0.660

Summary:
V	205.0	Å³ per cell
symmetry	Amm2 (38)
total magnetization	0.053	μB/f.u.

***

Stability comparison, relative energies in kJ/mol of atoms: version A 13.3; version B 0.0

***

Version A
Y2HoAl: relaxed, PBE.

Cell: 6.840 6.840 5.302 Å, 90.00 90.00 119.84°
Atoms (fractional coordinates):
Ho 0.676 0.324 0.750
Ho 0.324 0.676 0.250
Y 0.849 0.672 0.250
Al 0.167 0.833 0.750
Al 0.833 0.167 0.250
Y 0.328 0.151 0.250
Y 0.672 0.849 0.750
Y 0.151 0.328 0.750

Summary:
V	215.2	Å³ per cell
symmetry	Cmcm (63)
total magnetization	0.030	μB/f.u.

***

Version B
Y2HoAl: relaxed, PBE.

Cell: 5.313 6.902 6.902 Å, 61.05 90.00 90.00°
Atoms (fractional coordinates):
Al 0.500 0.713 0.133
Y 0.500 0.176 0.176
Al 0.500 0.133 0.713
Y 0.000 0.834 0.317
Y 0.000 0.827 0.827
Y 0.000 0.317 0.834
Ho 0.500 0.647 0.647
Ho 0.000 0.353 0.353

Summary:
V	221.4	Å³ per cell
symmetry	Amm2 (38)
total magnetization	0.010	μB/f.u.

***

Version C
Y2HoAl: relaxed, PBE.

Cell: 5.000 6.746 6.746 Å, 102.54 90.00 90.00°
Atoms (fractional coordinates):
Y 0.250 0.842 0.065
Y 0.750 0.065 0.842
Y 0.750 0.132 0.370
Al 0.750 0.573 0.925
Y 0.250 0.370 0.132
Ho 0.750 0.657 0.436
Ho 0.250 0.436 0.657
Al 0.250 0.925 0.573

Summary:
V	222.1	Å³ per cell
symmetry	Ama2 (40)
total magnetization	0.363	μB/f.u.

***

Stability comparison, relative energies in kJ/mol of atoms: version A 0.0; version B 11.6; version C 2.5

***

Version A
SrAl2In2Ir: relaxed, PBE.

Cell: 8.443 4.231 7.414 Å, 90.00 90.00 90.00°
Atoms (fractional coordinates):
Al 0.250 0.500 0.545
Ir 0.250 0.000 0.344
Al 0.000 0.000 0.500
In 0.553 0.500 0.795
Sr 0.750 0.000 0.109
Ir 0.750 0.000 0.656
In 0.053 0.500 0.205
In 0.947 0.500 0.795
Al 0.500 0.000 0.500
Al 0.750 0.500 0.455
In 0.447 0.500 0.205
Sr 0.250 0.000 0.891

Summary:
V	264.8	Å³ per cell
symmetry	Pmma (51)
total magnetization	0.006	μB/f.u.

***

Version B
SrAl2In2Ir: relaxed, PBE.

Cell: 8.359 4.235 7.670 Å, 90.00 90.00 90.00°
Atoms (fractional coordinates):
Al 0.083 0.500 0.807
Sr 0.750 0.000 0.891
Ir 0.250 0.000 0.712
Al 0.417 0.500 0.807
Sr 0.250 0.000 0.109
In 0.750 0.500 0.562
Al 0.917 0.500 0.193
In 0.000 0.000 0.500
Al 0.583 0.500 0.193
In 0.500 0.000 0.500
Ir 0.750 0.000 0.288
In 0.250 0.500 0.438

Summary:
V	271.5	Å³ per cell
symmetry	Pmma (51)
total magnetization	0.007	μB/f.u.

***

Stability comparison, relative energies in kJ/mol of atoms: version A 0.0; version B 15.8